(1)
Pr8H | GGA-PBE | relaxed

The structure belongs to space group P-3m1 (No. 164); the cell edges are 7.5145, 7.5145 and 6.0160 Å and the angles 90.00°, 90.00° and 120.00°. The asymmetric unit holds Pr at (0.1652, 0.3304, 0.2489), Pr at (0.3333, 0.6667, 0.7297) and H at (0.0000, 0.0000, 0.5000).

=====

(2)
Pr3H2 | GGA-PBE | relaxed

The structure belongs to space group R-3c (No. 167, hexagonal axes); the cell edges are 6.5433, 6.5433 and 17.6402 Å and the angles 90.00°, 90.00° and 120.00°. The asymmetric unit holds Pr at (0.0000, 0.3327, 0.2500) and H at (0.0000, 0.0000, 0.1668).

=====

(3)
PrH2 | GGA-PBE | relaxed

The structure belongs to space group Fm-3m (No. 225); the cell edges are 5.537, 5.537 and 5.537 Å and the angles 90.00°, 90.00° and 90.00°. The asymmetric unit holds Pr at (0.000, 0.000, 0.000) and H at (0.250, 0.250, 0.250).

=====

(4)
Pr4H | GGA-PBE | relaxed

The structure belongs to space group Pm-3m (No. 221); the cell edges are 5.235, 5.235 and 5.235 Å and the angles 90.00°, 90.00° and 90.00°. The asymmetric unit holds Pr at (0.000, 0.000, 0.000), Pr at (0.000, 0.500, 0.500) and H at (0.500, 0.500, 0.500).

=====

(5)
PrH4 | GGA-PBE | relaxed

The structure belongs to space group Pm-3m (No. 221); the cell edges are 4.488, 4.488 and 4.488 Å and the angles 90.00°, 90.00° and 90.00°. The asymmetric unit holds Pr at (0.000, 0.000, 0.000), H at (0.000, 0.000, 0.500) and H at (0.500, 0.500, 0.500).

=====

(6)
PrHPt2 | GGA-PBE | relaxed

The structure belongs to space group R-3m (No. 166, hexagonal axes); the cell edges are 3.0673, 3.0673 and 23.9976 Å and the angles 90.00°, 90.00° and 120.00°. The asymmetric unit holds Pr at (0.0000, 0.0000, 0.0000), H at (0.0000, 0.0000, 0.5000) and Pt at (0.0000, 0.0000, 0.1169).

=====

(7)
PrH3Pt | GGA-PBE | relaxed

The structure belongs to space group Cm (No. 8); the cell edges are 12.051, 3.821 and 5.110 Å and the angles 90.00°, 93.90° and 90.00°. The asymmetric unit holds Pr at (0.000, 0.000, 0.000), Pr at (0.233, 0.500, 0.514), H at (0.059, 0.500, 0.247), H at (0.061, 0.500, 0.741), H at (0.173, 0.000, 0.259), H at (0.281, 0.500, 0.028), H at (0.358, 0.000, 0.750), H at (0.449, 0.500, 0.482), Pt at (0.284, 0.000, 0.042) and Pt at (0.454, 0.000, 0.483).

=====

(8)
PrH4Pt | GGA-PBE | relaxed

The structure belongs to space group Pmmn (No. 59, origin choice 2); the cell edges are 4.004, 6.761 and 5.059 Å and the angles 90.00°, 90.00° and 90.00°. The asymmetric unit holds Pr at (0.250, 0.250, 0.216), H at (0.250, 0.250, 0.725), H at (0.250, 0.585, 0.008), H at (0.250, 0.750, 0.589) and Pt at (0.250, 0.750, 0.263).

=====

(9)
PrH7Pt2 | GGA-PBE | relaxed

The structure belongs to space group Cmmm (No. 65); the cell edges are 4.878, 10.393 and 3.634 Å and the angles 90.00°, 90.00° and 90.00°. The asymmetric unit holds Pr at (0.000, 0.000, 0.000), H at (0.000, 0.335, 0.000), H at (0.000, 0.500, 0.500), H at (0.161, 0.136, 0.500) and Pt at (0.000, 0.329, 0.500).

=====

Number 1: E_tot -0.1714 hartree per atom, total magnetic moment 0.00 μB per formula unit. Number 2: E_tot -0.1639 hartree per atom, total magnetic moment 0.00 μB per formula unit. Number 3: E_tot -0.1640 hartree per atom, total magnetic moment 0.00 μB per formula unit. Number 4: E_tot -0.1716 hartree per atom, total magnetic moment 0.00 μB per formula unit. Number 5: E_tot -0.1207 hartree per atom, total magnetic moment 0.99 μB per formula unit. Number 6: E_tot -0.1759 hartree per atom, total magnetic moment 0.00 μB per formula unit. Number 7: E_tot -0.1746 hartree per atom, total magnetic moment 0.00 μB per formula unit. Number 8: E_tot -0.1636 hartree per atom, total magnetic moment 0.00 μB per formula unit. Number 9: E_tot -0.1563 hartree per atom, total magnetic moment 0.00 μB per formula unit.